## 1
{"formula": "GdY2In", "functional": "PBE", "state": "relaxed", "lattice": [[1.763, 1.018, 12.064], [-1.763, 1.018, 12.064], [0.000, -2.036, 12.064]], "species": ["Gd", "Y", "Y", "In"], "frac_coords": [[0.000, 0.000, 0.000], [0.412, 0.412, 0.412], [0.588, 0.588, 0.588], [0.500, 0.500, 0.500]]}


## 2
{"formula": "GdY2In", "functional": "PBE", "state": "relaxed", "lattice": [[3.611, 0.000, 0.000], [0.000, 3.611, 0.000], [0.000, 0.000, 9.167]], "species": ["Gd", "Y", "Y", "In"], "frac_coords": [[0.000, 0.000, 0.000], [0.500, 0.500, 0.276], [0.500, 0.500, 0.724], [0.000, 0.000, 0.500]]}


Most stable: 2. Least stable: 1.